[1]
VASP calculation (PBE) on an optimized crystal structure of Mg3NiGe.

a = 4.759 Å, b = 4.759 Å, c = 4.759 Å
α = 90.00°, β = 90.00°, γ = 90.00°
Space group Pm-3m (No. 221)
One atom of each set of equivalent atoms:
Mg 0.000 0.000 0.500 x3
Ni 0.000 0.000 0.000 x1
Ge 0.500 0.500 0.500 x1

Calculated values
Energy of formation from the pure elements: 0.95 eV/f.u.
Energy above the lowest structure with this stoichiometry: 0.0 meV/atom

---

[2]
VASP calculation (PBE) on an optimized crystal structure of PaAgTe3.

a = 7.417 Å, b = 7.669 Å, c = 11.949 Å
α = 90.00°, β = 116.24°, γ = 90.00°
Space group P2_1/c (No. 14)
One atom of each set of equivalent atoms:
Pa 0.161 0.145 0.213 x4
Ag 0.124 0.591 0.120 x4
Te 0.154 0.138 0.940 x4
Te 0.219 0.639 0.909 x4
Te 0.476 0.089 0.762 x4

Calculated values
ΔE_f (raw): -534 meV per atom

---

[3]
VASP calculation (PBE) on an optimized crystal structure of NaCa2Nd3Se6.

a = 7.281 Å, b = 12.610 Å, c = 7.387 Å
α = 90.00°, β = 109.14°, γ = 90.00°
Space group C2/m (No. 12)
One atom of each set of equivalent atoms:
Na 0.000 0.000 0.000 x2
Ca 0.000 0.333 0.000 x4
Nd 0.000 0.165 0.500 x4
Nd 0.000 0.500 0.500 x2
Se 0.246 0.500 0.246 x4
Se 0.249 0.332 0.752 x8

Calculated values
ΔE_f (raw): -1838 meV per atom

---

[4]
VASP calculation (PBE) on an optimized crystal structure of Ce6CoSn3.

a = 10.842 Å, b = 6.534 Å, c = 8.006 Å
α = 90.00°, β = 102.79°, γ = 90.00°
Space group C2/m (No. 12)
One atom of each set of equivalent atoms:
Ce 0.115 0.219 0.367 x8
Ce 0.147 0.500 0.870 x4
Co 0.000 0.500 0.500 x2
Sn 0.000 0.000 0.000 x2
Sn 0.170 0.000 0.742 x4

Calculated values
Energy of formation from the pure elements: -3.38 eV/f.u.

---

[5]
VASP calculation (PBE) on an optimized crystal structure of InWIN2.

a = 4.111 Å, b = 4.111 Å, c = 5.711 Å
α = 90.00°, β = 90.00°, γ = 90.00°
Space group P4/mmm (No. 123)
One atom of each set of equivalent atoms:
In 0.000 0.000 0.000 x1
W 0.500 0.500 0.500 x1
I 0.500 0.500 0.000 x1
N 0.000 0.500 0.500 x2

Calculated values
Energy above the lowest structure with this stoichiometry: 0.0 meV/atom
ΔE_f (raw): 621 meV per atom

---

[6]
VASP calculation (PBE) on an optimized crystal structure of K2RePbO6.

a = 6.0095 Å, b = 6.0095 Å, c = 14.5751 Å
α = 90.00°, β = 90.00°, γ = 120.00°
Space group R-3 (No. 148, hexagonal axes)
One atom of each set of equivalent atoms:
K 0.0000 0.0000 0.2494 x6
Re 0.0000 0.0000 0.0000 x3
Pb 0.0000 0.0000 0.5000 x3
O 0.0385 0.5599 0.7419 x18

Calculated values
ΔE_f (raw): -1486 meV per atom

---

[7]
VASP calculation (PBE) on an optimized crystal structure of Sc5As4.

a = 8.2116 Å, b = 8.2116 Å, c = 5.9146 Å
α = 90.00°, β = 90.00°, γ = 120.00°
Space group P6_3/mcm (No. 193)
One atom of each set of equivalent atoms:
Sc 0.0000 0.2659 0.2500 x6
Sc 0.3333 0.6667 0.0000 x4
As 0.0000 0.0000 0.0000 x2
As 0.0000 0.3957 0.7500 x6

Calculated values
Energy of formation from the pure elements: -10.13 eV/f.u.

---

[8]
VASP calculation (PBE) on an optimized crystal structure of RbMgSn2Os.

a = 5.198 Å, b = 5.198 Å, c = 5.255 Å
α = 90.00°, β = 90.00°, γ = 90.00°
Space group P4/mmm (No. 123)
One atom of each set of equivalent atoms:
Rb 0.000 0.000 0.000 x1
Mg 0.500 0.500 0.000 x1
Sn 0.000 0.500 0.500 x2
Os 0.500 0.500 0.500 x1

Calculated values
Energy of formation from the pure elements: 0.29 eV/f.u.
Energy above the lowest structure with this stoichiometry: 0.0 meV/atom

---

[9]
VASP calculation (PBE) on an optimized crystal structure of NaGe3Pd3.

a = 7.7376 Å, b = 7.7376 Å, c = 15.1598 Å
α = 90.00°, β = 90.00°, γ = 120.00°
Space group R-3 (No. 148, hexagonal axes)
One atom of each set of equivalent atoms:
Na 0.0000 0.0000 0.1695 x6
Ge 0.0008 0.3287 0.3873 x18
Pd 0.0045 0.3018 0.5575 x18

Calculated values
Energy of formation from the pure elements: -2.02 eV/f.u.
Energy above the lowest structure with this stoichiometry: 0.0 meV/atom

---

[10]
VASP calculation (PBE) on an optimized crystal structure of Tb4Ga2Ag5.

a = 7.342 Å, b = 3.853 Å, c = 8.935 Å
α = 90.00°, β = 93.33°, γ = 90.00°
Space group P2/m (No. 10)
One atom of each set of equivalent atoms:
Tb 0.201 0.000 0.369 x2
Tb 0.251 0.000 0.916 x2
Ga 0.070 0.500 0.132 x2
Ag 0.153 0.500 0.637 x2
Ag 0.441 0.500 0.168 x2
Ag 0.500 0.500 0.500 x1

Calculated values
Energy of formation from the pure elements: -3.61 eV/f.u.

---

[11]
VASP calculation (PBE) on an optimized crystal structure of Er2AlCd3.

a = 6.902 Å, b = 9.672 Å, c = 16.764 Å
α = 90.00°, β = 90.00°, γ = 90.00°
Space group Fmmm (No. 69)
One atom of each set of equivalent atoms:
Er 0.249 0.000 0.000 x8
Er 0.250 0.250 0.250 x8
Al 0.000 0.000 0.334 x8
Cd 0.000 0.000 0.170 x8
Cd 0.000 0.245 0.415 x16

Calculated values
Energy of formation from the pure elements: -1.93 eV/f.u.

---

[12]
VASP calculation (PBE) on an optimized crystal structure of DyNi3Ir2.

a = 5.4947 Å, b = 5.4947 Å, c = 19.8352 Å
α = 90.00°, β = 90.00°, γ = 120.00°
Space group R-3m (No. 166, hexagonal axes)
One atom of each set of equivalent atoms:
Dy 0.0000 0.0000 0.2143 x6
Ni 0.0264 0.5132 0.2266 x18
Ir 0.0000 0.0000 0.0000 x3
Ir 0.0000 0.5000 0.0000 x9

Calculated values
Energy of formation from the pure elements: -1.13 eV/f.u.

---

no.,N(E_F) (states/eV/cell),spin magnetization (Bohr magnetons per cell)
1,2.88,0.0
2,6.19,0.6
3,6.33,0.0
4,60.93,11.1
5,1.55,0.0
6,6.67,0.0
7,18.64,0.0
8,4.49,0.0
9,9.16,0.0
10,7.31,0.0
11,32.14,0.0
12,40.35,0.0